First-principles (PBE) data for a relaxed K2Sn2Hg3S8 crystal, as listed in OQMD. Values from VASP.

space-group type = Aea2
relative energy among the computed polymorphs = 0 meV per atom

Cell and atoms, written as Quantum ESPRESSO input:
```
&SYSTEM
  ibrav = 0, nat = 30, ntyp = 4
/
ATOMIC_SPECIES
K 39.10 K.upf
Sn 118.71 Sn.upf
Hg 200.59 Hg.upf
S 32.06 S.upf
ATOMIC_POSITIONS crystal
K 0.118 0.207 0.793
K 0.382 0.707 0.293
K 0.618 0.293 0.707
K 0.882 0.793 0.207
Sn 0.135 0.721 0.293
Sn 0.365 0.221 0.793
Sn 0.635 0.793 0.221
Sn 0.865 0.293 0.721
Hg 0.000 0.355 0.355
Hg 0.246 0.657 0.736
Hg 0.254 0.157 0.236
Hg 0.500 0.855 0.855
Hg 0.746 0.236 0.157
Hg 0.754 0.736 0.657
S 0.032 0.580 0.123
S 0.126 0.674 0.648
S 0.133 0.079 0.247
S 0.233 0.565 0.140
S 0.267 0.065 0.640
S 0.367 0.579 0.747
S 0.374 0.174 0.148
S 0.468 0.080 0.623
S 0.532 0.623 0.080
S 0.626 0.148 0.174
S 0.633 0.747 0.579
S 0.733 0.640 0.065
S 0.767 0.140 0.565
S 0.867 0.247 0.079
S 0.874 0.648 0.674
S 0.968 0.123 0.580
CELL_PARAMETERS angstrom
19.916 0.000 0.000
0.000 5.015 4.375
0.000 -5.015 4.375
```

First-principles (PBE) data for a relaxed KTbHgS3 crystal, as listed in OQMD. Values from VASP.

space-group type = P2_1/m
energy = -51.53 eV/cell

Cell and atoms, written as Quantum ESPRESSO input:
```
&SYSTEM
  ibrav = 0, nat = 12, ntyp = 4
/
ATOMIC_SPECIES
K 39.10 K.upf
Tb 158.93 Tb.upf
Hg 200.59 Hg.upf
S 32.06 S.upf
ATOMIC_POSITIONS crystal
K 0.243 0.250 0.226
K 0.757 0.750 0.774
Tb 0.185 0.750 0.630
Tb 0.815 0.250 0.370
Hg 0.403 0.250 0.884
Hg 0.597 0.750 0.116
S 0.040 0.750 0.362
S 0.246 0.750 0.940
S 0.426 0.250 0.649
S 0.574 0.750 0.351
S 0.754 0.250 0.060
S 0.960 0.250 0.638
CELL_PARAMETERS angstrom
8.104 0.000 0.000
0.000 4.118 0.000
-3.109 0.000 9.886
```

First-principles (PBE) data for a relaxed KTbHgS3 crystal, as listed in OQMD. Values from VASP.

space-group type = C2/m
energy = -51.19 eV/cell

Cell and atoms, written as Quantum ESPRESSO input:
```
&SYSTEM
  ibrav = 0, nat = 12, ntyp = 4
/
ATOMIC_SPECIES
K 39.10 K.upf
Tb 158.93 Tb.upf
Hg 200.59 Hg.upf
S 32.06 S.upf
ATOMIC_POSITIONS crystal
K 0.142 0.142 0.071
K 0.858 0.858 0.929
Tb 0.171 0.171 0.582
Tb 0.829 0.829 0.418
Hg 0.485 0.485 0.274
Hg 0.515 0.515 0.726
S 0.000 0.000 0.500
S 0.330 0.330 0.211
S 0.331 0.331 0.629
S 0.500 0.500 0.000
S 0.669 0.669 0.371
S 0.670 0.670 0.789
CELL_PARAMETERS angstrom
8.754 -2.031 0.000
8.754 2.031 0.000
-2.088 0.000 8.689
```

First-principles (PBE) data for a relaxed KYHgS3 crystal, as listed in OQMD. Values from VASP.

space-group type = C2/m
energy = -54.90 eV/cell

Cell and atoms, written as Quantum ESPRESSO input:
```
&SYSTEM
  ibrav = 0, nat = 12, ntyp = 4
/
ATOMIC_SPECIES
K 39.10 K.upf
Y 88.91 Y.upf
Hg 200.59 Hg.upf
S 32.06 S.upf
ATOMIC_POSITIONS crystal
K 0.143 0.143 0.069
K 0.857 0.857 0.931
Y 0.171 0.171 0.581
Y 0.829 0.829 0.419
Hg 0.487 0.487 0.275
Hg 0.513 0.513 0.725
S 0.000 0.000 0.500
S 0.331 0.331 0.214
S 0.331 0.331 0.629
S 0.500 0.500 0.000
S 0.669 0.669 0.371
S 0.669 0.669 0.786
CELL_PARAMETERS angstrom
8.717 -2.024 0.000
8.717 2.024 0.000
-2.093 0.000 8.711
```

First-principles (PBE) data for a relaxed KYHgS3 crystal, as listed in OQMD. Values from VASP.

space-group type = P2_1/m
energy = -55.21 eV/cell

Cell and atoms, written as Quantum ESPRESSO input:
```
&SYSTEM
  ibrav = 0, nat = 12, ntyp = 4
/
ATOMIC_SPECIES
K 39.10 K.upf
Y 88.91 Y.upf
Hg 200.59 Hg.upf
S 32.06 S.upf
ATOMIC_POSITIONS crystal
K 0.241 0.250 0.224
K 0.759 0.750 0.776
Y 0.183 0.750 0.630
Y 0.817 0.250 0.370
Hg 0.404 0.250 0.884
Hg 0.596 0.750 0.116
S 0.042 0.750 0.363
S 0.245 0.750 0.939
S 0.425 0.250 0.649
S 0.575 0.750 0.351
S 0.755 0.250 0.061
S 0.958 0.250 0.637
CELL_PARAMETERS angstrom
8.083 0.000 0.000
0.000 4.105 0.000
-3.163 0.000 9.908
```

First-principles (PBE) data for a relaxed KZrHg3S4 crystal, as listed in OQMD. Values from VASP.

space-group type = P-43m
relative energy among the computed polymorphs = 134 meV per atom

Cell and atoms, written as Quantum ESPRESSO input:
```
&SYSTEM
  ibrav = 0, nat = 9, ntyp = 4
/
ATOMIC_SPECIES
K 39.10 K.upf
Zr 91.22 Zr.upf
Hg 200.59 Hg.upf
S 32.06 S.upf
ATOMIC_POSITIONS crystal
K 0.000 0.000 0.000
Zr 0.500 0.500 0.500
Hg 0.000 0.500 0.500
Hg 0.500 0.000 0.500
Hg 0.500 0.500 0.000
S 0.291 0.291 0.291
S 0.291 0.709 0.709
S 0.709 0.291 0.709
S 0.709 0.709 0.291
CELL_PARAMETERS angstrom
6.798 0.000 0.000
0.000 6.798 0.000
0.000 0.000 6.798
```

First-principles (PBE) data for a relaxed KZrHg3S4 crystal, as listed in OQMD. Values from VASP.

space-group type = P2_1/m
relative energy among the computed polymorphs = 0 meV per atom

Cell and atoms, written as Quantum ESPRESSO input:
```
&SYSTEM
  ibrav = 0, nat = 18, ntyp = 4
/
ATOMIC_SPECIES
K 39.10 K.upf
Zr 91.22 Zr.upf
Hg 200.59 Hg.upf
S 32.06 S.upf
ATOMIC_POSITIONS crystal
K 0.222 0.250 0.401
K 0.778 0.750 0.599
Zr 0.008 0.250 0.747
Zr 0.992 0.750 0.253
Hg 0.292 0.536 0.956
Hg 0.292 0.964 0.956
Hg 0.459 0.750 0.190
Hg 0.541 0.250 0.810
Hg 0.708 0.036 0.044
Hg 0.708 0.464 0.044
S 0.089 0.250 0.001
S 0.171 0.004 0.687
S 0.171 0.496 0.687
S 0.338 0.750 0.392
S 0.662 0.250 0.608
S 0.829 0.504 0.313
S 0.829 0.996 0.313
S 0.911 0.750 0.999
CELL_PARAMETERS angstrom
7.177 0.000 0.000
0.000 7.715 0.000
-3.224 0.000 9.712
```

First-principles (PBE) data for a relaxed KHgSb crystal, as listed in OQMD. Values from VASP.

space-group type = P6_3/mmc
energy = -13.27 eV/cell

Cell and atoms, written as Quantum ESPRESSO input:
```
&SYSTEM
  ibrav = 0, nat = 6, ntyp = 3
/
ATOMIC_SPECIES
K 39.10 K.upf
Hg 200.59 Hg.upf
Sb 121.76 Sb.upf
ATOMIC_POSITIONS crystal
K 0.000 0.000 0.000
K 0.000 0.000 0.500
Hg 0.333 0.667 0.250
Hg 0.667 0.333 0.750
Sb 0.333 0.667 0.750
Sb 0.667 0.333 0.250
CELL_PARAMETERS angstrom
4.898 0.000 0.000
-2.449 4.241 0.000
0.000 0.000 10.432
```

First-principles (PBE) data for a relaxed KHgSb crystal, as listed in OQMD. Values from VASP.

space-group type = P6_3/mmc
energy = -10.61 eV/cell

Cell and atoms, written as Quantum ESPRESSO input:
```
&SYSTEM
  ibrav = 0, nat = 6, ntyp = 3
/
ATOMIC_SPECIES
K 39.10 K.upf
Hg 200.59 Hg.upf
Sb 121.76 Sb.upf
ATOMIC_POSITIONS crystal
K 0.333 0.667 0.250
K 0.667 0.333 0.750
Hg 0.000 0.000 0.000
Hg 0.000 0.000 0.500
Sb 0.333 0.667 0.750
Sb 0.667 0.333 0.250
CELL_PARAMETERS angstrom
5.635 0.000 0.000
-2.818 4.880 0.000
0.000 0.000 6.953
```

First-principles (PBE) data for a relaxed KHgSb crystal, as listed in OQMD. Values from VASP.

space-group type = P-62m
energy = -18.54 eV/cell

Cell and atoms, written as Quantum ESPRESSO input:
```
&SYSTEM
  ibrav = 0, nat = 9, ntyp = 3
/
ATOMIC_SPECIES
K 39.10 K.upf
Hg 200.59 Hg.upf
Sb 121.76 Sb.upf
ATOMIC_POSITIONS crystal
K 0.000 0.586 0.000
K 0.414 0.414 0.000
K 0.586 0.000 0.000
Hg 0.000 0.000 0.000
Hg 0.333 0.667 0.500
Hg 0.667 0.333 0.500
Sb 0.000 0.256 0.500
Sb 0.256 0.000 0.500
Sb 0.744 0.744 0.500
CELL_PARAMETERS angstrom
7.880 0.000 0.000
-3.940 6.824 0.000
0.000 0.000 5.451
```

First-principles (PBE) data for a relaxed KHgSb crystal, as listed in OQMD. Values from VASP.

space-group type = P-62m
energy = -17.40 eV/cell

Cell and atoms, written as Quantum ESPRESSO input:
```
&SYSTEM
  ibrav = 0, nat = 9, ntyp = 3
/
ATOMIC_SPECIES
K 39.10 K.upf
Hg 200.59 Hg.upf
Sb 121.76 Sb.upf
ATOMIC_POSITIONS crystal
K 0.000 0.317 0.000
K 0.317 0.000 0.000
K 0.683 0.683 0.000
Hg 0.000 0.658 0.500
Hg 0.342 0.342 0.500
Hg 0.658 0.000 0.500
Sb 0.000 0.000 0.500
Sb 0.333 0.667 0.000
Sb 0.667 0.333 0.000
CELL_PARAMETERS angstrom
9.937 0.000 0.000
-4.969 8.606 0.000
0.000 0.000 3.208
```

First-principles (PBE) data for a relaxed KHgSb crystal, as listed in OQMD. Values from VASP.

space-group type = P-62m
energy = -18.65 eV/cell

Cell and atoms, written as Quantum ESPRESSO input:
```
&SYSTEM
  ibrav = 0, nat = 9, ntyp = 3
/
ATOMIC_SPECIES
K 39.10 K.upf
Hg 200.59 Hg.upf
Sb 121.76 Sb.upf
ATOMIC_POSITIONS crystal
K 0.000 0.565 0.000
K 0.435 0.435 0.000
K 0.565 0.000 0.000
Hg 0.000 0.255 0.500
Hg 0.255 0.000 0.500
Hg 0.745 0.745 0.500
Sb 0.000 0.000 0.000
Sb 0.333 0.667 0.500
Sb 0.667 0.333 0.500
CELL_PARAMETERS angstrom
7.947 0.000 0.000
-3.974 6.882 0.000
0.000 0.000 5.184
```

First-principles (PBE) data for a relaxed KHgSbSe3 crystal, as listed in OQMD. Values from VASP.

space-group type = Cmcm
energy = -37.87 eV/cell

Cell and atoms, written as Quantum ESPRESSO input:
```
&SYSTEM
  ibrav = 0, nat = 12, ntyp = 4
/
ATOMIC_SPECIES
K 39.10 K.upf
Hg 200.59 Hg.upf
Sb 121.76 Sb.upf
Se 78.96 Se.upf
ATOMIC_POSITIONS crystal
K 0.244 0.756 0.750
K 0.756 0.244 0.250
Hg 0.051 0.949 0.250
Hg 0.949 0.051 0.750
Sb 0.500 0.500 0.000
Sb 0.500 0.500 0.500
Se 0.131 0.869 0.040
Se 0.131 0.869 0.460
Se 0.433 0.567 0.250
Se 0.567 0.433 0.750
Se 0.869 0.131 0.540
Se 0.869 0.131 0.960
CELL_PARAMETERS angstrom
2.152 -7.452 0.000
2.152 7.452 0.000
0.000 0.000 11.189
```

First-principles (PBE) data for a relaxed KHgSbTe3 crystal, as listed in OQMD. Values from VASP.

space-group type = Cmcm
energy = -34.57 eV/cell

Cell and atoms, written as Quantum ESPRESSO input:
```
&SYSTEM
  ibrav = 0, nat = 12, ntyp = 4
/
ATOMIC_SPECIES
K 39.10 K.upf
Hg 200.59 Hg.upf
Sb 121.76 Sb.upf
Te 127.60 Te.upf
ATOMIC_POSITIONS crystal
K 0.247 0.753 0.750
K 0.753 0.247 0.250
Hg 0.451 0.549 0.250
Hg 0.549 0.451 0.750
Sb 0.000 0.000 0.000
Sb 0.000 0.000 0.500
Te 0.070 0.930 0.250
Te 0.366 0.634 0.038
Te 0.366 0.634 0.462
Te 0.634 0.366 0.538
Te 0.634 0.366 0.962
Te 0.930 0.070 0.750
CELL_PARAMETERS angstrom
2.283 -7.854 0.000
2.283 7.854 0.000
0.000 0.000 11.767
```

First-principles (PBE) data for a relaxed KScHgSe3 crystal, as listed in OQMD. Values from VASP.

space-group type = C2/m
energy = -49.00 eV/cell

Cell and atoms, written as Quantum ESPRESSO input:
```
&SYSTEM
  ibrav = 0, nat = 12, ntyp = 4
/
ATOMIC_SPECIES
K 39.10 K.upf
Sc 44.96 Sc.upf
Hg 200.59 Hg.upf
Se 78.96 Se.upf
ATOMIC_POSITIONS crystal
K 0.145 0.145 0.069
K 0.855 0.855 0.931
Sc 0.180 0.180 0.581
Sc 0.820 0.820 0.419
Hg 0.480 0.480 0.278
Hg 0.520 0.520 0.722
Se 0.000 0.000 0.500
Se 0.326 0.326 0.221
Se 0.327 0.327 0.623
Se 0.500 0.500 0.000
Se 0.673 0.673 0.377
Se 0.674 0.674 0.779
CELL_PARAMETERS angstrom
9.185 -1.998 0.000
9.185 1.998 0.000
-1.852 0.000 8.987
```

First-principles (PBE) data for a relaxed KScHgSe3 crystal, as listed in OQMD. Values from VASP.

space-group type = P2_1/m
energy = -49.42 eV/cell

Cell and atoms, written as Quantum ESPRESSO input:
```
&SYSTEM
  ibrav = 0, nat = 12, ntyp = 4
/
ATOMIC_SPECIES
K 39.10 K.upf
Sc 44.96 Sc.upf
Hg 200.59 Hg.upf
Se 78.96 Se.upf
ATOMIC_POSITIONS crystal
K 0.243 0.250 0.221
K 0.757 0.750 0.779
Sc 0.174 0.750 0.629
Sc 0.826 0.250 0.371
Hg 0.414 0.250 0.882
Hg 0.586 0.750 0.118
Se 0.046 0.750 0.368
Se 0.232 0.750 0.934
Se 0.408 0.250 0.637
Se 0.592 0.750 0.363
Se 0.768 0.250 0.066
Se 0.954 0.250 0.632
CELL_PARAMETERS angstrom
8.275 0.000 0.000
0.000 4.100 0.000
-3.595 0.000 10.041
```

First-principles (PBE) data for a relaxed KScHgTe3 crystal, as listed in OQMD. Values from VASP.

space-group type = P2_1/m
relative energy among the computed polymorphs = 3 meV per atom

Cell and atoms, written as Quantum ESPRESSO input:
```
&SYSTEM
  ibrav = 0, nat = 12, ntyp = 4
/
ATOMIC_SPECIES
K 39.10 K.upf
Sc 44.96 Sc.upf
Hg 200.59 Hg.upf
Te 127.60 Te.upf
ATOMIC_POSITIONS crystal
K 0.250 0.250 0.217
K 0.750 0.750 0.783
Sc 0.176 0.750 0.637
Sc 0.824 0.250 0.363
Hg 0.423 0.250 0.886
Hg 0.577 0.750 0.114
Te 0.050 0.750 0.364
Te 0.233 0.750 0.932
Te 0.410 0.250 0.634
Te 0.590 0.750 0.366
Te 0.767 0.250 0.068
Te 0.950 0.250 0.636
CELL_PARAMETERS angstrom
8.856 0.000 0.000
0.000 4.367 0.000
-3.744 0.000 10.550
```

First-principles (PBE) data for a relaxed KScHgTe3 crystal, as listed in OQMD. Values from VASP.

space-group type = Pnma
relative energy among the computed polymorphs = 36 meV per atom

Cell and atoms, written as Quantum ESPRESSO input:
```
&SYSTEM
  ibrav = 0, nat = 24, ntyp = 4
/
ATOMIC_SPECIES
K 39.10 K.upf
Sc 44.96 Sc.upf
Hg 200.59 Hg.upf
Te 127.60 Te.upf
ATOMIC_POSITIONS crystal
K 0.044 0.250 0.156
K 0.456 0.750 0.656
K 0.544 0.250 0.344
K 0.956 0.750 0.844
Sc 0.135 0.750 0.463
Sc 0.365 0.250 0.963
Sc 0.635 0.750 0.037
Sc 0.865 0.250 0.537
Hg 0.204 0.250 0.686
Hg 0.296 0.750 0.186
Hg 0.704 0.250 0.814
Hg 0.796 0.750 0.314
Te 0.006 0.250 0.388
Te 0.175 0.250 0.850
Te 0.215 0.750 0.030
Te 0.285 0.250 0.530
Te 0.325 0.750 0.350
Te 0.494 0.750 0.888
Te 0.506 0.250 0.112
Te 0.675 0.250 0.650
Te 0.715 0.750 0.470
Te 0.785 0.250 0.970
Te 0.825 0.750 0.150
Te 0.994 0.750 0.612
CELL_PARAMETERS angstrom
11.938 0.000 0.000
0.000 4.432 0.000
0.000 0.000 16.277
```

First-principles (PBE) data for a relaxed KScHgTe3 crystal, as listed in OQMD. Values from VASP.

space-group type = Pnma
relative energy among the computed polymorphs = 5 meV per atom

Cell and atoms, written as Quantum ESPRESSO input:
```
&SYSTEM
  ibrav = 0, nat = 24, ntyp = 4
/
ATOMIC_SPECIES
K 39.10 K.upf
Sc 44.96 Sc.upf
Hg 200.59 Hg.upf
Te 127.60 Te.upf
ATOMIC_POSITIONS crystal
K 0.218 0.250 0.019
K 0.282 0.750 0.519
K 0.718 0.250 0.481
K 0.782 0.750 0.981
Sc 0.004 0.250 0.264
Sc 0.496 0.750 0.764
Sc 0.504 0.250 0.236
Sc 0.996 0.750 0.736
Hg 0.239 0.750 0.222
Hg 0.261 0.250 0.722
Hg 0.739 0.750 0.278
Hg 0.761 0.250 0.778
Te 0.028 0.750 0.137
Te 0.071 0.250 0.622
Te 0.219 0.250 0.341
Te 0.281 0.750 0.841
Te 0.429 0.750 0.122
Te 0.472 0.250 0.637
Te 0.528 0.750 0.363
Te 0.571 0.250 0.878
Te 0.719 0.250 0.159
Te 0.781 0.750 0.659
Te 0.929 0.750 0.378
Te 0.972 0.250 0.863
CELL_PARAMETERS angstrom
11.996 0.000 0.000
0.000 4.311 0.000
0.000 0.000 15.989
```